# 1
Density functional theory data (PBE) for a geometry-optimized Ca5TlBi6 structure.

electronic total energy	-43.008	eV per cell
DFT formation energy	-7.35	eV per formula unit

a b c (Å): 5.863 7.496 9.402
angles (deg): 113.33 97.28 90.12
Fractional positions:
1 Ca 0.000 0.000 0.000
2 Ca 0.325 0.346 0.692
3 Ca 0.344 0.830 0.661
4 Ca 0.656 0.170 0.339
5 Ca 0.675 0.654 0.308
6 Tl 0.000 0.500 0.000
7 Bi 0.165 0.415 0.344
8 Bi 0.165 0.929 0.344
9 Bi 0.500 0.235 0.000
10 Bi 0.500 0.765 0.000
11 Bi 0.835 0.071 0.656
12 Bi 0.835 0.585 0.656


# 2
Density functional theory data (PBE) for a geometry-optimized CaTl2Bi2 structure.

electronic total energy	-14.812	eV per cell
DFT formation energy	-0.32	eV per formula unit
E above lowest polymorph	224	meV/atom

a b c (Å): 8.628 8.628 8.628
angles (deg): 148.73 148.73 44.82
Fractional positions:
1 Ca 0.000 0.000 0.000
2 Tl 0.403 0.403 0.000
3 Tl 0.597 0.597 0.000
4 Bi 0.250 0.750 0.500
5 Bi 0.750 0.250 0.500


# 3
Density functional theory data (PBE) for a geometry-optimized Ca2Tl3Bi3 structure.

electronic total energy	-25.826	eV per cell
DFT formation energy	-3.08	eV per formula unit

a b c (Å): 4.847 5.169 9.770
angles (deg): 90.00 90.00 90.00
Fractional positions:
1 Ca 0.000 0.000 0.248
2 Ca 0.000 0.000 0.752
3 Tl 0.000 0.500 0.500
4 Tl 0.500 0.500 0.256
5 Tl 0.500 0.500 0.744
6 Bi 0.000 0.500 0.000
7 Bi 0.500 0.000 0.000
8 Bi 0.500 0.000 0.500


# 4
Density functional theory data (PBE) for a geometry-optimized Ca2Tl2Bi structure.

electronic total energy	-12.884	eV per cell
DFT formation energy	-0.27	eV per formula unit
E above lowest polymorph	322	meV/atom

a b c (Å): 7.407 7.407 7.407
angles (deg): 139.47 139.47 58.66
Fractional positions:
1 Ca 0.250 0.750 0.500
2 Ca 0.750 0.250 0.500
3 Tl 0.106 0.106 0.000
4 Tl 0.894 0.894 0.000
5 Bi 0.500 0.500 0.000


# 5
Density functional theory data (PBE) for a geometry-optimized CaTl2Bi2 structure.

electronic total energy	-31.868	eV per cell
DFT formation energy	-1.44	eV per formula unit
E above lowest polymorph	0	meV/atom

a b c (Å): 14.470 14.470 4.696
angles (deg): 90.00 90.00 161.27
Fractional positions:
1 Ca 0.159 0.841 0.750
2 Ca 0.841 0.159 0.250
3 Tl 0.052 0.948 0.250
4 Tl 0.448 0.552 0.250
5 Tl 0.552 0.448 0.750
6 Tl 0.948 0.052 0.750
7 Bi 0.250 0.750 0.250
8 Bi 0.361 0.639 0.750
9 Bi 0.639 0.361 0.250
10 Bi 0.750 0.250 0.750


# 6
Density functional theory data (PBE) for a geometry-optimized CaTlBi2 structure.

electronic total energy	-13.749	eV per cell
DFT formation energy	-1.62	eV per formula unit
E above lowest polymorph	0	meV/atom

a b c (Å): 4.981 4.981 4.958
angles (deg): 90.00 90.00 90.00
Fractional positions:
1 Ca 0.000 0.000 0.000
2 Tl 0.500 0.500 0.000
3 Bi 0.000 0.500 0.500
4 Bi 0.500 0.000 0.500


# 7
Density functional theory data (PBE) for a geometry-optimized CaTl2Bi2 structure.

electronic total energy	-15.619	eV per cell
DFT formation energy	-1.12	eV per formula unit
E above lowest polymorph	63	meV/atom

a b c (Å): 8.905 8.905 8.905
angles (deg): 150.50 150.50 42.20
Fractional positions:
1 Ca 0.000 0.000 0.000
2 Tl 0.250 0.750 0.500
3 Tl 0.750 0.250 0.500
4 Bi 0.408 0.408 0.000
5 Bi 0.592 0.592 0.000


# 8
Density functional theory data (PBE) for a geometry-optimized CaTlBi structure.

electronic total energy	-9.447	eV per cell
DFT formation energy	-1.20	eV per formula unit
E above lowest polymorph	98	meV/atom

a b c (Å): 4.845 4.845 4.899
angles (deg): 90.00 90.00 120.00
Fractional positions:
1 Ca 0.000 0.000 0.000
2 Tl 0.667 0.333 0.354
3 Bi 0.333 0.667 0.661


# 9
Density functional theory data (PBE) for a geometry-optimized CaTlBi structure.

electronic total energy	-19.481	eV per cell
DFT formation energy	-1.49	eV per formula unit
E above lowest polymorph	0	meV/atom

a b c (Å): 5.709 5.709 6.776
angles (deg): 90.00 90.00 120.00
Fractional positions:
1 Ca 0.333 0.667 0.250
2 Ca 0.667 0.333 0.750
3 Tl 0.000 0.000 0.000
4 Tl 0.000 0.000 0.500
5 Bi 0.333 0.667 0.750
6 Bi 0.667 0.333 0.250


# 10
Density functional theory data (PBE) for a geometry-optimized CaTlBi structure.

electronic total energy	-9.303	eV per cell
DFT formation energy	-1.05	eV per formula unit
E above lowest polymorph	146	meV/atom

a b c (Å): 5.496 5.496 5.496
angles (deg): 60.00 60.00 60.00
Fractional positions:
1 Ca 0.000 0.000 0.000
2 Tl 0.500 0.500 0.500
3 Bi 0.250 0.250 0.250


# 11
Density functional theory data (PBE) for a geometry-optimized Ca5Tl4Bi structure.

electronic total energy	-28.325	eV per cell
DFT formation energy	-4.97	eV per formula unit

a b c (Å): 3.964 3.964 19.050
angles (deg): 90.00 90.00 90.00
Fractional positions:
1 Ca 0.000 0.000 0.000
2 Ca 0.000 0.000 0.199
3 Ca 0.000 0.000 0.401
4 Ca 0.000 0.000 0.599
5 Ca 0.000 0.000 0.801
6 Tl 0.500 0.500 0.101
7 Tl 0.500 0.500 0.296
8 Tl 0.500 0.500 0.704
9 Tl 0.500 0.500 0.899
10 Bi 0.500 0.500 0.500


# 12
Density functional theory data (PBE) for a geometry-optimized Ca2Tl2Bi structure.

electronic total energy	-27.933	eV per cell
DFT formation energy	-1.35	eV per formula unit
E above lowest polymorph	106	meV/atom

a b c (Å): 8.778 8.778 4.161
angles (deg): 90.00 90.00 90.00
Fractional positions:
1 Ca 0.158 0.342 0.000
2 Ca 0.342 0.842 0.000
3 Ca 0.658 0.158 0.000
4 Ca 0.842 0.658 0.000
5 Tl 0.146 0.646 0.500
6 Tl 0.354 0.146 0.500
7 Tl 0.646 0.854 0.500
8 Tl 0.854 0.354 0.500
9 Bi 0.000 0.000 0.000
10 Bi 0.500 0.500 0.000


# 13
Density functional theory data (PBE) for a geometry-optimized CaTlBi structure.

electronic total energy	-19.129	eV per cell
DFT formation energy	-1.32	eV per formula unit
E above lowest polymorph	59	meV/atom

a b c (Å): 3.629 5.647 9.306
angles (deg): 90.00 99.94 90.00
Fractional positions:
1 Ca 0.072 0.250 0.153
2 Ca 0.928 0.750 0.847
3 Tl 0.252 0.750 0.508
4 Tl 0.748 0.250 0.492
5 Bi 0.426 0.250 0.823
6 Bi 0.574 0.750 0.177


# 14
Density functional theory data (PBE) for a geometry-optimized Ca6TlBi5 structure.

electronic total energy	-80.917	eV per cell
DFT formation energy	-6.68	eV per formula unit

a b c (Å): 8.248 8.248 15.804
angles (deg): 90.00 90.00 120.00
Fractional positions:
1 Ca 0.000 0.370 0.119
2 Ca 0.000 0.370 0.381
3 Ca 0.000 0.630 0.619
4 Ca 0.000 0.630 0.881
5 Ca 0.370 0.000 0.119
6 Ca 0.370 0.000 0.381
7 Ca 0.370 0.370 0.619
8 Ca 0.370 0.370 0.881
9 Ca 0.630 0.000 0.619
10 Ca 0.630 0.000 0.881
11 Ca 0.630 0.630 0.119
12 Ca 0.630 0.630 0.381
13 Tl 0.000 0.000 0.250
14 Tl 0.000 0.000 0.750
15 Bi 0.000 0.341 0.750
16 Bi 0.000 0.659 0.250
17 Bi 0.333 0.667 0.000
18 Bi 0.333 0.667 0.500
19 Bi 0.341 0.000 0.750
20 Bi 0.341 0.341 0.250
21 Bi 0.659 0.000 0.250
22 Bi 0.659 0.659 0.750
23 Bi 0.667 0.333 0.000
24 Bi 0.667 0.333 0.500


# 15
Density functional theory data (PBE) for a geometry-optimized Ca2Tl2Bi structure.

electronic total energy	-28.990	eV per cell
DFT formation energy	-1.88	eV per formula unit
E above lowest polymorph	0	meV/atom

a b c (Å): 8.244 8.244 4.618
angles (deg): 90.00 90.00 90.00
Fractional positions:
1 Ca 0.170 0.330 0.000
2 Ca 0.330 0.830 0.000
3 Ca 0.670 0.170 0.000
4 Ca 0.830 0.670 0.000
5 Tl 0.132 0.632 0.500
6 Tl 0.368 0.132 0.500
7 Tl 0.632 0.868 0.500
8 Tl 0.868 0.368 0.500
9 Bi 0.000 0.000 0.500
10 Bi 0.500 0.500 0.500


# 16
Density functional theory data (PBE) for a geometry-optimized CaTlBi4 structure.

electronic total energy	-20.567	eV per cell
DFT formation energy	-0.68	eV per formula unit
E above lowest polymorph	103	meV/atom

a b c (Å): 6.638 6.638 6.638
angles (deg): 60.00 60.00 60.00
Fractional positions:
1 Ca 0.000 0.000 0.000
2 Tl 0.750 0.750 0.750
3 Bi 0.376 0.376 0.376
4 Bi 0.376 0.376 0.873
5 Bi 0.376 0.873 0.376
6 Bi 0.873 0.376 0.376


# 17
Density functional theory data (PBE) for a geometry-optimized CaTl2Bi2 structure.

electronic total energy	-31.042	eV per cell
DFT formation energy	-1.03	eV per formula unit
E above lowest polymorph	83	meV/atom

a b c (Å): 8.278 8.278 5.092
angles (deg): 90.00 90.00 90.00
Fractional positions:
1 Ca 0.000 0.000 0.000
2 Ca 0.500 0.500 0.000
3 Tl 0.167 0.333 0.500
4 Tl 0.333 0.833 0.500
5 Tl 0.667 0.167 0.500
6 Tl 0.833 0.667 0.500
7 Bi 0.131 0.631 0.000
8 Bi 0.369 0.131 0.000
9 Bi 0.631 0.869 0.000
10 Bi 0.869 0.369 0.000


# 18
Density functional theory data (PBE) for a geometry-optimized CaTlBi2 structure.

electronic total energy	-13.083	eV per cell
DFT formation energy	-0.95	eV per formula unit
E above lowest polymorph	166	meV/atom

a b c (Å): 6.493 6.493 6.493
angles (deg): 49.07 49.07 49.07
Fractional positions:
1 Ca 0.000 0.000 0.000
2 Tl 0.192 0.192 0.192
3 Bi 0.428 0.428 0.428
4 Bi 0.609 0.609 0.609


# 19
Density functional theory data (PBE) for a geometry-optimized Ca6Tl5Bi structure.

electronic total energy	-33.721	eV per cell
DFT formation energy	-6.00	eV per formula unit

a b c (Å): 5.571 7.616 8.884
angles (deg): 90.00 108.06 90.00
Fractional positions:
1 Ca 0.000 0.246 0.000
2 Ca 0.000 0.754 0.000
3 Ca 0.334 0.252 0.669
4 Ca 0.334 0.748 0.669
5 Ca 0.666 0.252 0.331
6 Ca 0.666 0.748 0.331
7 Tl 0.168 0.500 0.334
8 Tl 0.178 0.000 0.356
9 Tl 0.500 0.500 0.000
10 Tl 0.822 0.000 0.644
11 Tl 0.832 0.500 0.666
12 Bi 0.500 0.000 0.000


# 20
Density functional theory data (PBE) for a geometry-optimized CaTmTlBi structure.

electronic total energy	-14.389	eV per cell
DFT formation energy	-1.67	eV per formula unit

a b c (Å): 5.480 5.480 5.480
angles (deg): 60.00 60.00 60.00
Fractional positions:
1 Ca 0.000 0.000 0.000
2 Tm 0.500 0.500 0.500
3 Tl 0.750 0.750 0.750
4 Bi 0.250 0.250 0.250


# 21
Density functional theory data (PBE) for a geometry-optimized CaTl2ZnBi2 structure.

electronic total energy	-34.713	eV per cell
DFT formation energy	-1.59	eV per formula unit

a b c (Å): 4.790 10.165 7.734
angles (deg): 90.00 90.00 90.00
Fractional positions:
1 Ca 0.000 0.033 0.000
2 Ca 0.000 0.967 0.500
3 Tl 0.000 0.359 0.329
4 Tl 0.000 0.641 0.829
5 Tl 0.500 0.395 0.009
6 Tl 0.500 0.605 0.509
7 Zn 0.500 0.147 0.665
8 Zn 0.500 0.853 0.165
9 Bi 0.000 0.291 0.738
10 Bi 0.000 0.709 0.238
11 Bi 0.500 0.123 0.277
12 Bi 0.500 0.877 0.777


# 22
Density functional theory data (PBE) for a geometry-optimized Ca2ZrTlBi structure.

electronic total energy	-17.638	eV per cell
DFT formation energy	1.16	eV per formula unit

a b c (Å): 5.867 5.867 5.578
angles (deg): 90.00 90.00 90.00
Fractional positions:
1 Ca 0.000 0.500 0.000
2 Ca 0.500 0.000 0.000
3 Zr 0.000 0.000 0.500
4 Tl 0.500 0.500 0.500
5 Bi 0.000 0.000 0.000


# 23
Density functional theory data (PBE) for a geometry-optimized CaTmBi2 structure.

electronic total energy	-16.691	eV per cell
DFT formation energy	-2.46	eV per formula unit
E above lowest polymorph	90	meV/atom

a b c (Å): 5.866 5.866 3.460
angles (deg): 90.00 90.00 90.00
Fractional positions:
1 Ca 0.000 0.000 0.000
2 Tm 0.500 0.500 0.000
3 Bi 0.000 0.500 0.500
4 Bi 0.500 0.000 0.500


# 24
Density functional theory data (PBE) for a geometry-optimized Ca3TmBi3 structure.

electronic total energy	-53.760	eV per cell
DFT formation energy	-4.76	eV per formula unit

a b c (Å): 8.391 8.391 8.140
angles (deg): 93.59 93.59 113.65
Fractional positions:
1 Ca 0.161 0.839 0.000
2 Ca 0.223 0.777 0.500
3 Ca 0.405 0.405 0.157
4 Ca 0.595 0.595 0.843
5 Ca 0.777 0.223 0.500
6 Ca 0.839 0.161 0.000
7 Tm 0.202 0.202 0.643
8 Tm 0.798 0.798 0.357
9 Bi 0.106 0.106 0.278
10 Bi 0.157 0.506 0.792
11 Bi 0.494 0.843 0.208
12 Bi 0.506 0.157 0.792
13 Bi 0.843 0.494 0.208
14 Bi 0.894 0.894 0.722


# 25
Density functional theory data (PBE) for a geometry-optimized CaTmBi2 structure.

electronic total energy	-16.674	eV per cell
DFT formation energy	-2.44	eV per formula unit
E above lowest polymorph	95	meV/atom

a b c (Å): 4.094 4.094 7.154
angles (deg): 90.00 90.00 90.00
Fractional positions:
1 Ca 0.000 0.000 0.000
2 Tm 0.000 0.000 0.500
3 Bi 0.500 0.500 0.263
4 Bi 0.500 0.500 0.737